Density functional theory data (GGA-PBE) for a relaxed Pm5Sm6 crystal.

Properties
Space group: No. 71
Polymorph energy (0 for the lowest one) (meV per atom): 0
Density (Mg/m³): 7.1
Total magnetic moment (μB per formula unit): 0.00
Formation enthalpy at 0 K (meV/atom): 108.7

Geometry as POSCAR:
```
Pm5Sm6
1.0
-2.842 4.146 8.064
2.842 -4.146 8.064
2.842 4.146 -8.064
Pm Sm
5 6
Direct
0.000 0.000 0.000
0.161 0.661 0.500
0.300 0.300 0.000
0.700 0.700 0.000
0.839 0.339 0.500
0.158 0.864 0.295
0.294 0.500 0.794
0.431 0.136 0.295
0.569 0.864 0.705
0.706 0.500 0.206
0.842 0.136 0.705
```